Entry 1:
Rb3Nd3SnS8 | the Alexandria database | GGA-PBE | relaxed; space group = R-3m, No. 166; E_form (uncorrected) = -1.5116 eV per atom
1.0
-4.127 7.139 -0.009
-0.927 -5.290 6.260
7.964 4.603 -0.367
Nd S Rb Sn
3 8 3 1
direct
0.000 0.500 0.500
0.500 0.500 0.500
0.500 0.000 0.500
0.783 0.030 0.313
0.268 0.536 0.304
0.783 0.567 0.313
0.217 0.970 0.687
0.217 0.433 0.687
0.754 0.970 0.687
0.732 0.464 0.696
0.246 0.030 0.313
0.000 0.500 0.000
0.500 0.500 0.000
0.000 0.000 0.000
0.000 0.000 0.500

Entry 2:
Rb3Nd3TaS8 | the Alexandria database | GGA-PBE | relaxed; space group = R-3m, No. 166; E_form (uncorrected) = -1.6020 eV per atom
1.0
8.110 0.000 0.000
-4.055 7.024 -0.031
0.000 -4.652 7.910
S Nd Rb Ta
8 3 3 1
direct
0.734 0.468 0.702
0.790 0.027 0.318
0.237 0.027 0.318
0.790 0.580 0.317
0.763 0.973 0.682
0.210 0.420 0.683
0.266 0.532 0.298
0.210 0.973 0.682
0.000 0.500 0.500
0.500 0.000 0.500
0.500 0.500 0.500
0.000 0.000 0.000
0.000 0.500 0.000
0.500 0.500 0.000
0.000 0.000 0.500

Entry 3:
Rb4Nd3TaS8 | the Alexandria database | GGA-PBE | relaxed; space group = R-3m, No. 166; E_form (uncorrected) = -1.5372 eV per atom
1.0
8.162 0.000 0.000
0.000 9.028 0.604
-4.081 -4.076 5.774
Rb S Ta Nd
4 8 1 3
direct
0.500 0.000 0.000
0.000 0.000 0.500
0.000 0.000 0.000
0.500 0.000 0.500
0.265 0.296 0.531
0.735 0.704 0.469
0.216 0.690 0.975
0.784 0.310 0.025
0.216 0.690 0.431
0.784 0.310 0.569
0.241 0.310 0.025
0.759 0.690 0.975
0.000 0.500 0.000
0.500 0.500 0.500
0.000 0.500 0.500
0.500 0.500 0.000

Entry 4:
Rb3TbNd2S6 | the Alexandria database | GGA-PBE | relaxed; space group = C2/m, No. 12; E_form (uncorrected) = -1.8326 eV per atom
1.0
7.246 -0.002 0.001
-3.622 6.275 0.001
-1.208 -2.091 7.714
S Nd Rb Tb
6 2 3 1
direct
0.609 0.935 0.804
0.391 0.065 0.196
0.935 0.609 0.804
0.065 0.391 0.196
0.261 0.261 0.804
0.739 0.739 0.196
0.667 0.333 0.000
0.333 0.667 0.000
0.832 0.168 0.500
0.500 0.500 0.500
0.168 0.832 0.500
0.000 0.000 0.000

Entry 5:
RbNdTeS | the Alexandria database | GGA-PBE | relaxed; space group = P1, No. 1; E_form (uncorrected) = -1.5574 eV per atom
1.0
-1.869 2.265 3.260
-2.170 -3.310 -1.896
5.248 -5.734 4.053
S Te Nd Rb
1 1 1 1
direct
0.509 0.151 0.676
0.107 0.952 0.074
0.287 0.541 0.844
0.975 0.388 0.376

Entry 6:
Rb4NdTh3S8 | the Alexandria database | GGA-PBE | relaxed; space group = R-3m, No. 166; E_form (uncorrected) = -1.6935 eV per atom
1.0
8.306 0.000 0.000
0.000 9.137 0.579
-4.153 -4.149 5.875
Nd Rb Th S
1 4 3 8
direct
0.000 0.500 0.000
0.500 0.000 0.000
0.000 0.000 0.000
0.000 0.000 0.500
0.500 0.000 0.500
0.000 0.500 0.500
0.500 0.500 0.500
0.500 0.500 0.000
0.763 0.298 0.526
0.237 0.702 0.965
0.272 0.298 0.035
0.763 0.298 0.035
0.728 0.702 0.965
0.734 0.702 0.468
0.266 0.298 0.532
0.237 0.702 0.474